A relaxed structure of Ba2ErHgTe5, computed with PBE-GGA.

Computed properties:
Raw formation energy in eV/atom: -1.178
M_tot in μB per formula unit: 0.00

```
data_Ba2ErHgTe5
_space_group_name_H-M_alt 'C m c 21'
_space_group_IT_number 36
_cell_length_a 4.562
_cell_length_b 20.584
_cell_length_c 14.087
_cell_angle_alpha 90.00
_cell_angle_beta 90.00
_cell_angle_gamma 90.00
loop_
_space_group_symop_operation_xyz
'x,y,z'
'-x,-y,z+1/2'
'-x,y,z'
'x,-y,z+1/2'
'x+1/2,y+1/2,z'
'-x+1/2,-y+1/2,z+1/2'
'-x+1/2,y+1/2,z'
'x+1/2,-y+1/2,z+1/2'
loop_
_atom_site_label
_atom_site_type_symbol
_atom_site_fract_x
_atom_site_fract_y
_atom_site_fract_z
Ba1 Ba 0.000 0.120 0.000
Ba2 Ba 0.000 0.130 0.626
Er1 Er 0.000 0.208 0.323
Hg1 Hg 0.000 0.452 0.748
Te1 Te 0.000 0.057 0.368
Te2 Te 0.000 0.293 0.969
Te3 Te 0.000 0.305 0.674
Te4 Te 0.000 0.354 0.316
Te5 Te 0.000 0.495 0.068
```